{"formula": "LiHf3Pt", "functional": "PBE", "state": "optimized geometry", "lattice": [[-2.613, 4.087, 1.586], [0.253, -1.702, 4.805], [4.376, 2.539, 0.669]], "species": ["Li", "Hf", "Hf", "Hf", "Pt"], "fractional_positions": [[0.500, 0.500, 0.500], [0.500, 0.000, 0.000], [0.000, 0.000, 0.500], [0.000, 0.500, 0.000], [0.000, 0.000, 0.000]], "formation_energy_kj_per_mol_atoms": 34, "total_magnetization_mub_per_cell": 0.54, "rho_g_cm3": 9.2, "crystal_system": "cubic", "sg": "Pm-3m, No. 221", "relative_energy_ev_per_atom": 0.000, "volume_a3_per_cell": 133}

=====

{"formula": "EuLuTl2", "functional": "PBE", "state": "optimized geometry", "lattice": [[-1.603, 3.331, 0.530], [-3.610, 0.487, -0.821], [-4.218, -1.406, 9.227]], "species": ["Tl", "Tl", "Eu", "Lu"], "fractional_positions": [[0.254, 0.254, 0.239], [0.746, 0.746, 0.761], [0.500, 0.500, 0.500], [0.000, 0.000, 0.000]], "formation_energy_kj_per_mol_atoms": -22, "total_magnetization_mub_per_cell": 7.26, "rho_g_cm3": 10.1, "crystal_system": "trigonal", "sg": "R-3m, No. 166", "relative_energy_ev_per_atom": 0.129, "volume_a3_per_cell": 121}